The following is a DFT calculation (PBE-GGA) of an optimized crystal structure of Hf2NiN.

Cell lengths 3.1977, 4.4274, 8.1381 Å; angles 90.00, 101.50, 90.00 degrees
Fractional coordinates of all 8 atoms:
Hf (0.4097, 0.7500, 0.8186)
Hf (0.7957, 0.2500, 0.5901)
Hf (0.2043, 0.7500, 0.4099)
Hf (0.5903, 0.2500, 0.1814)
Ni (0.0422, 0.7500, 0.0811)
Ni (0.9578, 0.2500, 0.9189)
N (0.1960, 0.2500, 0.3938)
N (0.8040, 0.7500, 0.6062)

Summary:
Magnetization (μB per cell): 0.0
DFT total energy (eV/atom): -9.581